Entry 1:
The following is a DFT calculation (PBE-GGA) of DyPuGa2 after structural relaxation.

Properties
Crystal system ... tetragonal
DOS(E_F) ... 1.895 states/eV per atom
Formation enthalpy at 0 K ... -157 kJ/mol of formula units
Spin magnetization ... 5.4 μB per formula unit
Mass density ... 10.10 g cm⁻³
Total energy ... -6.654 eV/atom

Cell: 3.283 3.283 8.329 Å, 90.00 90.00 90.00°
Atoms (fractional coordinates):
1 Dy 0.000 0.000 0.000
2 Pu 0.000 0.000 0.500
3 Ga 0.500 0.500 0.248
4 Ga 0.500 0.500 0.752



Entry 2:
The following is a DFT calculation (PBE-GGA) of Ac3GePd3 after structural relaxation.

Properties
Crystal system ... hexagonal
DOS(E_F) ... 0.629 states/eV per atom
Formation enthalpy at 0 K ... -423 kJ/mol of formula units
Spin magnetization ... 0.0 μB per formula unit
Mass density ... 8.13 g cm⁻³
Total energy ... -5.272 eV/atom

Cell: 9.076 9.076 6.139 Å, 90.00 90.00 120.00°
Atoms (fractional coordinates):
1 Ac 0.056 0.693 0.250
2 Ac 0.307 0.363 0.250
3 Ac 0.363 0.056 0.750
4 Ac 0.637 0.944 0.250
5 Ac 0.693 0.637 0.750
6 Ac 0.944 0.307 0.750
7 Ge 0.333 0.667 0.750
8 Ge 0.667 0.333 0.250
9 Pd 0.066 0.690 0.750
10 Pd 0.310 0.375 0.750
11 Pd 0.375 0.066 0.250
12 Pd 0.625 0.934 0.750
13 Pd 0.690 0.625 0.250
14 Pd 0.934 0.310 0.250



Entry 3:
The following is a DFT calculation (PBE-GGA) of DyPaSi after structural relaxation.

Properties
Formation energy without anion corrections ... 0.06 eV per atom
Crystal system ... trigonal
DOS(E_F) ... 1.635 states/eV per atom
Spin magnetization ... 0.0 μB per formula unit
Mass density ... 9.84 g cm⁻³
Total energy ... -6.451 eV/atom

Cell: 4.838 4.838 3.511 Å, 90.00 90.00 120.00°
Atoms (fractional coordinates):
1 Dy 0.000 0.000 0.000
2 Pa 0.333 0.667 0.537
3 Si 0.667 0.333 0.240



Entry 4:
The following is a DFT calculation (PBE-GGA) of InSnI2F after structural relaxation.

Properties
Formation energy without anion corrections ... -0.94 eV per atom
Crystal system ... tetragonal
DOS(E_F) ... 0.002 states/eV per atom
Spin magnetization ... 0.0 μB per formula unit
Mass density ... 4.61 g cm⁻³
Total energy ... -3.282 eV/atom

Cell: 6.334 6.334 4.544 Å, 90.00 90.00 90.00°
Atoms (fractional coordinates):
1 In 0.000 0.000 0.000
2 Sn 0.500 0.500 0.500
3 I 0.000 0.500 0.500
4 I 0.500 0.000 0.500
5 F 0.500 0.500 0.000



Entry 5:
The following is a DFT calculation (PBE-GGA) of FeCoSi2 after structural relaxation.

Properties
Formation energy without anion corrections ... -0.43 eV per atom
Crystal system ... orthorhombic
DOS(E_F) ... 0.653 states/eV per atom
Spin magnetization ... 0.0 μB per formula unit
Mass density ... 6.67 g cm⁻³
Total energy ... -7.033 eV/atom

Cell: 3.964 3.964 2.716 Å, 90.00 90.00 94.26°
Atoms (fractional coordinates):
1 Fe 0.000 0.000 0.000
2 Co 0.500 0.500 0.000
3 Si 0.000 0.500 0.500
4 Si 0.500 0.000 0.500



Entry 6:
The following is a DFT calculation (PBE-GGA) of GeP2SeO after structural relaxation.

Properties
Formation energy without anion corrections ... 0.33 eV per atom
Crystal system ... tetragonal
DOS(E_F) ... 0.632 states/eV per atom
Spin magnetization ... 0.0 μB per formula unit
Mass density ... 4.47 g cm⁻³
Total energy ... -4.448 eV/atom

Cell: 4.872 4.872 3.588 Å, 90.00 90.00 90.00°
Atoms (fractional coordinates):
1 Ge 0.000 0.000 0.000
2 P 0.000 0.500 0.000
3 P 0.500 0.000 0.000
4 Se 0.500 0.500 0.500
5 O 0.000 0.000 0.500



Entry 7:
The following is a DFT calculation (PBE-GGA) of Ti2HSeCl after structural relaxation.

Properties
Crystal system ... tetragonal
DOS(E_F) ... 0.855 states/eV per atom
Spin magnetization ... 0.0 μB per formula unit
Mass density ... 4.27 g cm⁻³
Total energy ... -4.717 eV/atom

Cell: 4.950 4.950 3.354 Å, 90.00 90.00 90.00°
Atoms (fractional coordinates):
1 Ti 0.000 0.500 0.000
2 Ti 0.500 0.000 0.000
3 H 0.000 0.000 0.500
4 Se 0.000 0.000 0.000
5 Cl 0.500 0.500 0.500



Entry 8:
The following is a DFT calculation (PBE-GGA) of PtAuBr2 after structural relaxation.

Properties
Formation energy without anion corrections ... 0.40 eV per atom
Crystal system ... monoclinic
DOS(E_F) ... 0.592 states/eV per atom
Spin magnetization ... 0.0 μB per formula unit
Mass density ... 9.45 g cm⁻³
Total energy ... -2.764 eV/atom

Cell: 5.323 5.323 3.425 Å, 91.15 91.15 89.95°
Atoms (fractional coordinates):
1 Pt 0.000 0.000 0.000
2 Au 0.500 0.500 0.000
3 Br 0.000 0.500 0.000
4 Br 0.500 0.000 0.000



Entry 9:
The following is a DFT calculation (PBE-GGA) of NiS2N after structural relaxation.

Properties
Formation energy without anion corrections ... 0.27 eV per atom
Crystal system ... trigonal
DOS(E_F) ... 0.585 states/eV per atom
Spin magnetization ... 0.0 μB per formula unit
Mass density ... 3.88 g cm⁻³
Total energy ... -5.319 eV/atom

Cell: 5.773 5.773 5.773 Å, 35.68 35.68 35.68°
Atoms (fractional coordinates):
1 Ni 0.000 0.000 0.000
2 S 0.403 0.403 0.403
3 S 0.597 0.597 0.597
4 N 0.500 0.500 0.500



Entry 10:
The following is a DFT calculation (PBE-GGA) of Pr2PuSc after structural relaxation.

Properties
Crystal system ... trigonal
DOS(E_F) ... 3.030 states/eV per atom
Formation enthalpy at 0 K ... 112 kJ/mol of formula units
Spin magnetization ... 6.7 μB per formula unit
Mass density ... 7.48 g cm⁻³
Total energy ... -7.265 eV/atom

Cell: 12.392 12.392 12.392 Å, 16.04 16.04 16.04°
Atoms (fractional coordinates):
1 Pr 0.091 0.091 0.091
2 Pr 0.909 0.909 0.909
3 Pu 0.000 0.000 0.000
4 Sc 0.500 0.500 0.500



Entry 11:
The following is a DFT calculation (PBE-GGA) of UPd3 after structural relaxation.

Properties
Crystal system ... hexagonal
DOS(E_F) ... 1.531 states/eV per atom
Formation enthalpy at 0 K ... -201 kJ/mol of formula units
Spin magnetization ... 2.2 μB per formula unit
Mass density ... 12.96 g cm⁻³
Total energy ... -7.238 eV/atom

Cell: 5.845 5.845 9.655 Å, 90.00 90.00 120.00°
Atoms (fractional coordinates):
1 U 0.000 0.000 0.000
2 U 0.000 0.000 0.500
3 U 0.333 0.667 0.250
4 U 0.667 0.333 0.750
5 Pd 0.000 0.500 0.000
6 Pd 0.000 0.500 0.500
7 Pd 0.172 0.344 0.750
8 Pd 0.172 0.828 0.750
9 Pd 0.344 0.172 0.250
10 Pd 0.500 0.000 0.000
11 Pd 0.500 0.000 0.500
12 Pd 0.500 0.500 0.000
13 Pd 0.500 0.500 0.500
14 Pd 0.656 0.828 0.750
15 Pd 0.828 0.172 0.250
16 Pd 0.828 0.656 0.250



Entry 12:
The following is a DFT calculation (PBE-GGA) of CeTmSc3 after structural relaxation.

Properties
Crystal system ... monoclinic
DOS(E_F) ... 1.925 states/eV per atom
Formation enthalpy at 0 K ... 50 kJ/mol of formula units
Spin magnetization ... 0.8 μB per formula unit
Mass density ... 5.55 g cm⁻³
Total energy ... -5.776 eV/atom

Cell: 10.626 10.626 6.087 Å, 93.06 93.06 50.69°
Atoms (fractional coordinates):
1 Ce 0.157 0.297 0.135
2 Ce 0.297 0.157 0.635
3 Ce 0.703 0.843 0.365
4 Ce 0.843 0.703 0.865
5 Tm 0.248 0.752 0.750
6 Tm 0.385 0.615 0.250
7 Tm 0.615 0.385 0.750
8 Tm 0.752 0.248 0.250
9 Sc 0.018 0.132 0.892
10 Sc 0.090 0.592 0.438
11 Sc 0.132 0.018 0.392
12 Sc 0.270 0.461 0.913
13 Sc 0.408 0.910 0.062
14 Sc 0.461 0.270 0.413
15 Sc 0.539 0.730 0.587
16 Sc 0.592 0.090 0.938
17 Sc 0.730 0.539 0.087
18 Sc 0.868 0.982 0.608
19 Sc 0.910 0.408 0.562
20 Sc 0.982 0.868 0.108



Entry 13:
The following is a DFT calculation (PBE-GGA) of La3BiIr after structural relaxation.

Properties
Crystal system ... monoclinic
DOS(E_F) ... 0.756 states/eV per atom
Formation enthalpy at 0 K ... -354 kJ/mol of formula units
Spin magnetization ... 0.0 μB per formula unit
Mass density ... 8.49 g cm⁻³
Total energy ... -6.238 eV/atom

Cell: 11.811 11.811 6.355 Å, 97.20 97.20 21.34°
Atoms (fractional coordinates):
1 La 0.000 0.000 0.000
2 La 0.000 0.000 0.500
3 La 0.198 0.198 0.817
4 La 0.350 0.350 0.681
5 La 0.650 0.650 0.319
6 La 0.802 0.802 0.183
7 Bi 0.414 0.414 0.210
8 Bi 0.586 0.586 0.790
9 Ir 0.229 0.229 0.314
10 Ir 0.771 0.771 0.686



Entry 14:
The following is a DFT calculation (PBE-GGA) of Rb2TlNiAu after structural relaxation.

Properties
Crystal system ... tetragonal
DOS(E_F) ... 1.653 states/eV per atom
Formation enthalpy at 0 K ... 330 kJ/mol of formula units
Spin magnetization ... 1.0 μB per formula unit
Mass density ... 4.03 g cm⁻³
Total energy ... -1.988 eV/atom

Cell: 7.060 7.060 5.217 Å, 90.00 90.00 90.00°
Atoms (fractional coordinates):
1 Rb 0.000 0.500 0.000
2 Rb 0.500 0.000 0.000
3 Tl 0.000 0.000 0.000
4 Ni 0.500 0.500 0.500
5 Au 0.000 0.000 0.500



Entry 15:
The following is a DFT calculation (PBE-GGA) of TlAg2Hg after structural relaxation.

Properties
Crystal system ... trigonal
DOS(E_F) ... 0.410 states/eV per atom
Formation enthalpy at 0 K ... 45 kJ/mol of formula units
Spin magnetization ... 0.0 μB per formula unit
Mass density ... 11.44 g cm⁻³
Total energy ... -1.975 eV/atom

Cell: 9.742 9.742 9.742 Å, 19.51 19.51 19.51°
Atoms (fractional coordinates):
1 Tl 0.000 0.000 0.000
2 Ag 0.248 0.248 0.248
3 Ag 0.506 0.506 0.506
4 Hg 0.760 0.760 0.760



Entry 16:
The following is a DFT calculation (PBE-GGA) of Cr2InAg after structural relaxation.

Properties
Crystal system ... monoclinic
DOS(E_F) ... 0.711 states/eV per atom
Formation enthalpy at 0 K ... 210 kJ/mol of formula units
Spin magnetization ... 7.8 μB per formula unit
Mass density ... 7.40 g cm⁻³
Total energy ... -5.664 eV/atom

Cell: 5.138 5.138 4.906 Å, 101.19 101.19 35.31°
Atoms (fractional coordinates):
1 Cr 0.000 0.000 0.000
2 Cr 0.245 0.245 0.716
3 In 0.497 0.497 0.499
4 Ag 0.744 0.744 0.206



Entry 17:
The following is a DFT calculation (PBE-GGA) of Y5In2Si after structural relaxation.

Properties
Formation energy without anion corrections ... -0.49 eV per atom
Crystal system ... orthorhombic
DOS(E_F) ... 0.646 states/eV per atom
Spin magnetization ... 0.0 μB per formula unit
Mass density ... 5.35 g cm⁻³
Total energy ... -5.893 eV/atom

Cell: 6.911 12.690 4.969 Å, 90.00 90.00 90.00°
Atoms (fractional coordinates):
1 Y 0.000 0.000 0.000
2 Y 0.134 0.282 0.000
3 Y 0.169 0.588 0.500
4 Y 0.331 0.088 0.500
5 Y 0.366 0.782 0.000
6 Y 0.500 0.500 0.000
7 Y 0.634 0.218 0.000
8 Y 0.669 0.912 0.500
9 Y 0.831 0.412 0.500
10 Y 0.866 0.718 0.000
11 In 0.106 0.841 0.500
12 In 0.394 0.341 0.500
13 In 0.606 0.659 0.500
14 In 0.894 0.159 0.500
15 Si 0.000 0.500 0.000
16 Si 0.500 0.000 0.000



Entry 18:
The following is a DFT calculation (PBE-GGA) of KCuAg2 after structural relaxation.

Properties
Crystal system ... monoclinic
DOS(E_F) ... 0.369 states/eV per atom
Formation enthalpy at 0 K ... 165 kJ/mol of formula units
Spin magnetization ... 0.0 μB per formula unit
Mass density ... 6.33 g cm⁻³
Total energy ... -2.297 eV/atom

Cell: 5.904 5.904 2.914 Å, 100.69 100.69 118.14°
Atoms (fractional coordinates):
1 K 0.000 0.000 0.000
2 Cu 0.500 0.500 0.000
3 Ag 0.000 0.500 0.500
4 Ag 0.500 0.000 0.500



Entry 19:
The following is a DFT calculation (PBE-GGA) of InAuSe2N after structural relaxation.

Properties
Formation energy without anion corrections ... 1.08 eV per atom
Crystal system ... tetragonal
DOS(E_F) ... 0.890 states/eV per atom
Spin magnetization ... 2.9 μB per formula unit
Mass density ... 6.68 g cm⁻³
Total energy ... -3.187 eV/atom

Cell: 5.399 5.399 4.126 Å, 90.00 90.00 90.00°
Atoms (fractional coordinates):
1 In 0.000 0.000 0.000
2 Au 0.500 0.500 0.500
3 Se 0.000 0.500 0.000
4 Se 0.500 0.000 0.000
5 N 0.000 0.000 0.500



Entry 20:
The following is a DFT calculation (PBE-GGA) of Sr3Al9Pd2 after structural relaxation.

Properties
Crystal system ... orthorhombic
DOS(E_F) ... 0.454 states/eV per atom
Formation enthalpy at 0 K ... -564 kJ/mol of formula units
Spin magnetization ... 0.0 μB per formula unit
Mass density ... 4.00 g cm⁻³
Total energy ... -3.926 eV/atom

Cell: 8.562 8.562 8.562 Å, 149.72 105.70 82.29°
Atoms (fractional coordinates):
1 Sr 0.000 0.000 0.000
2 Sr 0.309 0.309 0.000
3 Sr 0.691 0.691 0.000
4 Al 0.023 0.669 0.354
5 Al 0.164 0.881 0.283
6 Al 0.315 0.669 0.646
7 Al 0.402 0.119 0.283
8 Al 0.500 0.000 0.500
9 Al 0.598 0.881 0.717
10 Al 0.685 0.331 0.354
11 Al 0.836 0.119 0.717
12 Al 0.977 0.331 0.646
13 Pd 0.279 0.500 0.779
14 Pd 0.721 0.500 0.221



Entry 21:
The following is a DFT calculation (PBE-GGA) of Ba2BIr after structural relaxation.

Properties
Crystal system ... tetragonal
DOS(E_F) ... 0.706 states/eV per atom
Formation enthalpy at 0 K ... 388 kJ/mol of formula units
Spin magnetization ... 1.7 μB per formula unit
Mass density ... 6.63 g cm⁻³
Total energy ... -3.840 eV/atom

Cell: 6.797 6.797 6.797 Å, 106.20 106.20 116.23°
Atoms (fractional coordinates):
1 Ba 0.125 0.625 0.000
2 Ba 0.375 0.375 0.500
3 Ba 0.625 0.125 0.000
4 Ba 0.875 0.875 0.500
5 B 0.000 0.000 0.000
6 B 0.750 0.250 0.500
7 Ir 0.250 0.750 0.500
8 Ir 0.500 0.500 0.000



Entry 22:
The following is a DFT calculation (PBE-GGA) of Sb2PbSe after structural relaxation.

Properties
Formation energy without anion corrections ... -0.02 eV per atom
Crystal system ... tetragonal
DOS(E_F) ... 0.335 states/eV per atom
Spin magnetization ... 0.0 μB per formula unit
Mass density ... 7.15 g cm⁻³
Total energy ... -3.883 eV/atom

Cell: 3.789 3.789 8.561 Å, 90.00 90.00 90.00°
Atoms (fractional coordinates):
1 Sb 0.000 0.000 0.000
2 Sb 0.500 0.500 0.173
3 Pb 0.500 0.500 0.649
4 Se 0.000 0.000 0.495



Entry 23:
The following is a DFT calculation (PBE-GGA) of LaOsAu3 after structural relaxation.

Properties
Crystal system ... cubic
DOS(E_F) ... 2.770 states/eV per atom
Formation enthalpy at 0 K ... 889 kJ/mol of formula units
Spin magnetization ... 0.5 μB per formula unit
Mass density ... 9.45 g cm⁻³
Total energy ... -3.355 eV/atom

Cell: 5.447 5.447 5.447 Å, 90.00 90.00 90.00°
Atoms (fractional coordinates):
1 La 0.000 0.000 0.000
2 Os 0.500 0.500 0.500
3 Au 0.000 0.000 0.500
4 Au 0.000 0.500 0.000
5 Au 0.500 0.000 0.000



Entry 24:
The following is a DFT calculation (PBE-GGA) of FeSiGe after structural relaxation.

Properties
Formation energy without anion corrections ... -0.19 eV per atom
Crystal system ... orthorhombic
Spin magnetization ... 0.0 μB per formula unit
Mass density ... 6.41 g cm⁻³
Total energy ... -6.362 eV/atom

Cell: 6.454 6.454 8.023 Å, 90.00 90.00 76.07°
Atoms (fractional coordinates):
1 Fe 0.193 0.807 0.812
2 Fe 0.217 0.217 0.000
3 Fe 0.283 0.283 0.500
4 Fe 0.307 0.693 0.312
5 Fe 0.693 0.307 0.688
6 Fe 0.717 0.717 0.500
7 Fe 0.783 0.783 0.000
8 Fe 0.807 0.193 0.188
9 Si 0.085 0.168 0.731
10 Si 0.168 0.085 0.269
11 Si 0.332 0.415 0.769
12 Si 0.415 0.332 0.231
13 Si 0.585 0.668 0.769
14 Si 0.668 0.585 0.231
15 Si 0.832 0.915 0.731
16 Si 0.915 0.832 0.269
17 Ge 0.097 0.647 0.550
18 Ge 0.147 0.597 0.050
19 Ge 0.353 0.903 0.550
20 Ge 0.403 0.853 0.050
21 Ge 0.597 0.147 0.950
22 Ge 0.647 0.097 0.450
23 Ge 0.853 0.403 0.950
24 Ge 0.903 0.353 0.450